This record from Alexandria describes a crystal of BeFe2Cu relaxed with PBEsol. The functional is meta-GGA SCAN.

a b c (Å): 4.1572 4.1572 4.1572
angles (deg): 130.11 130.11 73.23
Last column: nearest neighbours and their distance in Å.
Positions (direct):
Be  0.0000  0.0000  0.0000  8 Fe 2.42-2.48, 4 Cu 2.42
Fe  0.2500  0.7500  0.5000  4 Fe 2.42, 4 Be 2.42, 4 Cu 2.48
Fe  0.5000  0.5000  0.0000  4 Fe 2.42, 4 Cu 2.42, 4 Be 2.48
Cu  0.7500  0.2500  0.5000  8 Fe 2.42-2.48, 4 Be 2.42

ΔE_f (eV per atom): 0.0060
Symmetry: I-4m2
Total energy (hartree per atom): -0.51254
D(E_F) (states/eV per atom): 0.354

This record from Alexandria describes a crystal of BeFe2Cu relaxed with PBEsol. The functional is meta-GGA SCAN.

a b c (Å): 2.5072 2.5072 6.1804
angles (deg): 90.00 90.00 90.00
Last column: nearest neighbours and their distance in Å.
Positions (direct):
Be  0.0000  0.0000  0.0000  4 Fe 2.27, 4 Cu 2.28, 4 Be 2.51
Fe  0.0000  0.0000  0.5277  8 Fe 2.33-2.51, 4 Cu 2.55
Fe  0.5000  0.5000  0.7717  4 Be 2.27, 8 Fe 2.33-2.51
Cu  0.5000  0.5000  0.2317  4 Be 2.28, 4 Cu 2.51, 4 Fe 2.55

ΔE_f (eV per atom): 0.1009
Symmetry: P4mm
Total energy (hartree per atom): -0.50905
D(E_F) (states/eV per atom): 0.913

This record from Alexandria describes a crystal of BeFe2Cu relaxed with PBEsol. The functional is meta-GGA SCAN.

a b c (Å): 2.4495 2.4495 6.7434
angles (deg): 90.00 90.00 90.00
Last column: nearest neighbours and their distance in Å.
Positions (direct):
Be  0.0000  0.0000  0.0000  8 Fe 2.29, 4 Be 2.45
Fe  0.5000  0.5000  0.2230  4 Be 2.29, 4 Fe 2.45, 4 Cu 2.55
Fe  0.5000  0.5000  0.7770  4 Be 2.29, 4 Fe 2.45, 4 Cu 2.55
Cu  0.0000  0.0000  0.5000  4 Cu 2.45, 8 Fe 2.55

ΔE_f (eV per atom): -0.0587
Symmetry: P4/mmm
Total energy (hartree per atom): -0.51492
D(E_F) (states/eV per atom): 0.474

This record from Alexandria describes a crystal of BeFe2Cu relaxed with PBEsol. The functional is meta-GGA SCAN.

a b c (Å): 4.4263 4.4263 4.4263
angles (deg): 143.10 127.68 65.73
Last column: nearest neighbours and their distance in Å.
Positions (direct):
Be  0.0000  0.0000  0.0000  2 Cu 2.21, 6 Fe 2.28-2.40
Fe  0.5009  0.5009  0.0000  2 Fe 2.37, 4 Be 2.40, 4 Cu 2.45-2.59
Fe  0.7575  0.2575  0.5000  2 Be 2.28, 2 Fe 2.37, 4 Cu 2.41
Cu  0.2307  0.7307  0.5000  2 Be 2.21, 6 Fe 2.41-2.45

ΔE_f (eV per atom): 0.0346
Symmetry: Imm2
Total energy (hartree per atom): -0.51149
D(E_F) (states/eV per atom): 0.455

This record from Alexandria describes a crystal of TiBe2FeCu relaxed with PBEsol. The functional is meta-GGA SCAN.

a b c (Å): 4.3361 4.3361 3.9692
angles (deg): 90.00 90.00 90.00
Last column: nearest neighbours and their distance in Å.
Positions (direct):
Ti  0.0000  0.0000  0.0000  2 Fe 1.98, 4 Be 2.17
Be  0.0000  0.5000  0.0000  2 Ti 2.17
Be  0.5000  0.0000  0.0000  2 Ti 2.17
Fe  0.0000  0.0000  0.5000  2 Ti 1.98
Cu  0.5000  0.5000  0.5000  8 Be 2.94, 4 Fe 3.07

ΔE_f (eV per atom): 1.5604
Symmetry: P4/mmm
Total energy (hartree per atom): -0.36943
D(E_F) (states/eV per atom): 0.535

This record from Alexandria describes a crystal of SrBe2GaCu relaxed with PBEsol. The functional is meta-GGA SCAN.

a b c (Å): 5.3940 5.3940 5.2072
angles (deg): 90.00 90.00 90.00
Last column: nearest neighbours and their distance in Å.
Positions (direct):
Sr  0.0000  0.0000  0.0000  2 Cu 2.60, 4 Be 2.70
Be  0.0000  0.5000  0.0000  2 Sr 2.70
Be  0.5000  0.0000  0.0000  2 Sr 2.70
Ga  0.5000  0.5000  0.5000  8 Be 3.75, 4 Cu 3.81
Cu  0.0000  0.0000  0.5000  2 Sr 2.60

ΔE_f (eV per atom): 1.9648
Symmetry: P4/mmm
Total energy (hartree per atom): -0.38737
D(E_F) (states/eV per atom): 0.857